No. 1
# Pm4GaNiCl2 | Alexandria via LeMat-Bulk | PBE | relaxed
data_Pm4GaNiCl2
_chemical_formula_sum 'Pm4 Ga1 Ni1 Cl2'
_space_group_name_H-M_alt 'P 1'
_space_group_IT_number 1
_cell_length_a 7.3390
_cell_length_b 3.9837
_cell_length_c 7.4567
_cell_angle_alpha 90.00
_cell_angle_beta 107.92
_cell_angle_gamma 90.00
loop_
_space_group_symop_operation_xyz
'x,y,z'
loop_
_atom_site_label
_atom_site_fract_x
_atom_site_fract_y
_atom_site_fract_z
_atom_site_occupancy
Pm1 0.2229 0.0000 0.2139 1
Pm2 0.2420 0.5000 0.7590 1
Pm3 0.7580 0.5000 0.2410 1
Pm4 0.7771 0.0000 0.7861 1
Ga1 0.5000 0.0000 0.0000 1
Ni1 0.0000 0.5000 0.0000 1
Cl1 0.0000 0.0000 0.5000 1
Cl2 0.5000 0.5000 0.5000 1
# formation energy (no corrections) = -929.2 meV per atom
# mass density = 6.24 g cm⁻³
# electronic total energy = -4.867 eV/atom
# space-group type = P2/m

No. 2
# GaNiSCl2 | Alexandria via LeMat-Bulk | PBE | relaxed
data_GaNiSCl2
_chemical_formula_sum 'Ga1 Ni1 S1 Cl2'
_space_group_name_H-M_alt 'P 1'
_space_group_IT_number 1
_cell_length_a 4.8831
_cell_length_b 4.8831
_cell_length_c 4.3784
_cell_angle_alpha 90.00
_cell_angle_beta 90.00
_cell_angle_gamma 90.00
loop_
_space_group_symop_operation_xyz
'x,y,z'
loop_
_atom_site_label
_atom_site_fract_x
_atom_site_fract_y
_atom_site_fract_z
_atom_site_occupancy
Ga1 0.0000 0.0000 0.0000 1
Ni1 0.5000 0.5000 0.5000 1
S1 0.5000 0.5000 0.0000 1
Cl1 0.0000 0.5000 0.5000 1
Cl2 0.5000 0.0000 0.5000 1
# formation energy (no corrections) = -203.5 meV per atom
# mass density = 3.68 g cm⁻³
# electronic total energy = -3.529 eV/atom
# space-group type = P4/mmm

No. 3
# GaNiS2Cl | Alexandria via LeMat-Bulk | PBE | relaxed
data_GaNiS2Cl
_chemical_formula_sum 'Ga1 Ni1 S2 Cl1'
_space_group_name_H-M_alt 'P 1'
_space_group_IT_number 1
_cell_length_a 4.4292
_cell_length_b 4.4292
_cell_length_c 5.1532
_cell_angle_alpha 90.00
_cell_angle_beta 90.00
_cell_angle_gamma 90.00
loop_
_space_group_symop_operation_xyz
'x,y,z'
loop_
_atom_site_label
_atom_site_fract_x
_atom_site_fract_y
_atom_site_fract_z
_atom_site_occupancy
Ga1 0.0000 0.0000 0.0000 1
Ni1 0.5000 0.5000 0.5000 1
S1 0.0000 0.5000 0.5000 1
S2 0.5000 0.0000 0.5000 1
Cl1 0.5000 0.5000 0.0000 1
# formation energy (no corrections) = 67.7 meV per atom
# mass density = 3.74 g cm⁻³
# electronic total energy = -3.714 eV/atom
# space-group type = P4/mmm

No. 4
# GaNiSCl2 | Alexandria via LeMat-Bulk | PBE | relaxed
data_GaNiSCl2
_chemical_formula_sum 'Ga1 Ni1 S1 Cl2'
_space_group_name_H-M_alt 'P 1'
_space_group_IT_number 1
_cell_length_a 4.7409
_cell_length_b 4.7409
_cell_length_c 4.8545
_cell_angle_alpha 90.00
_cell_angle_beta 90.00
_cell_angle_gamma 90.00
loop_
_space_group_symop_operation_xyz
'x,y,z'
loop_
_atom_site_label
_atom_site_fract_x
_atom_site_fract_y
_atom_site_fract_z
_atom_site_occupancy
Ga1 0.0000 0.0000 0.0000 1
Ni1 0.5000 0.5000 0.5000 1
S1 0.0000 0.0000 0.5000 1
Cl1 0.0000 0.5000 0.0000 1
Cl2 0.5000 0.0000 0.0000 1
# formation energy (no corrections) = 210.0 meV per atom
# mass density = 3.52 g cm⁻³
# electronic total energy = -3.116 eV/atom
# space-group type = P4/mmm

No. 5
# GaNiSb2Cl | Alexandria via LeMat-Bulk | PBE | relaxed
data_GaNiSb2Cl
_chemical_formula_sum 'Ga1 Ni1 Sb2 Cl1'
_space_group_name_H-M_alt 'P 1'
_space_group_IT_number 1
_cell_length_a 5.0373
_cell_length_b 5.0373
_cell_length_c 4.6646
_cell_angle_alpha 90.00
_cell_angle_beta 90.00
_cell_angle_gamma 90.00
loop_
_space_group_symop_operation_xyz
'x,y,z'
loop_
_atom_site_label
_atom_site_fract_x
_atom_site_fract_y
_atom_site_fract_z
_atom_site_occupancy
Ga1 0.0000 0.0000 0.0000 1
Ni1 0.0000 0.0000 0.5000 1
Sb1 0.0000 0.5000 0.5000 1
Sb2 0.5000 0.0000 0.5000 1
Cl1 0.5000 0.5000 0.0000 1
# formation energy (no corrections) = 56.6 meV per atom
# mass density = 5.72 g cm⁻³
# electronic total energy = -3.723 eV/atom
# space-group type = P4/mmm

No. 6
# GaNiSeCl2 | Alexandria via LeMat-Bulk | PBE | relaxed
data_GaNiSeCl2
_chemical_formula_sum 'Ga1 Ni1 Se1 Cl2'
_space_group_name_H-M_alt 'P 1'
_space_group_IT_number 1
_cell_length_a 5.5641
_cell_length_b 5.5641
_cell_length_c 4.2804
_cell_angle_alpha 90.00
_cell_angle_beta 90.00
_cell_angle_gamma 90.00
loop_
_space_group_symop_operation_xyz
'x,y,z'
loop_
_atom_site_label
_atom_site_fract_x
_atom_site_fract_y
_atom_site_fract_z
_atom_site_occupancy
Ga1 0.0000 0.0000 0.0000 1
Ni1 0.5000 0.5000 0.0000 1
Se1 0.5000 0.5000 0.5000 1
Cl1 0.0000 0.5000 0.5000 1
Cl2 0.5000 0.0000 0.5000 1
# formation energy (no corrections) = 44.8 meV per atom
# mass density = 3.49 g cm⁻³
# electronic total energy = -3.152 eV/atom
# space-group type = P4/mmm

No. 7
# Sm6GaNi2Cl3 | Alexandria via LeMat-Bulk | PBE | relaxed
data_Sm6GaNi2Cl3
_chemical_formula_sum 'Sm6 Ga1 Ni2 Cl3'
_space_group_name_H-M_alt 'P 1'
_space_group_IT_number 1
_cell_length_a 9.5305
_cell_length_b 9.5305
_cell_length_c 8.6816
_cell_angle_alpha 106.39
_cell_angle_beta 106.39
_cell_angle_gamma 23.95
loop_
_space_group_symop_operation_xyz
'x,y,z'
loop_
_atom_site_label
_atom_site_fract_x
_atom_site_fract_y
_atom_site_fract_z
_atom_site_occupancy
Sm1 0.0107 0.0107 0.2547 1
Sm2 0.3234 0.3234 0.4361 1
Sm3 0.3364 0.3364 0.8811 1
Sm4 0.6636 0.6636 0.1189 1
Sm5 0.6766 0.6766 0.5639 1
Sm6 0.9893 0.9893 0.7453 1
Ga1 0.5000 0.5000 0.0000 1
Ni1 0.1672 0.1672 0.3413 1
Ni2 0.8328 0.8328 0.6587 1
Cl1 0.1634 0.1634 0.8391 1
Cl2 0.5000 0.5000 0.5000 1
Cl3 0.8366 0.8366 0.1609 1
# formation energy (no corrections) = -922.2 meV per atom
# mass density = 6.48 g cm⁻³
# electronic total energy = -4.959 eV/atom
# space-group type = C2/m

No. 8
# Ta2GaNiCl | Alexandria via LeMat-Bulk | PBE | relaxed
data_Ta2GaNiCl
_chemical_formula_sum 'Ta2 Ga1 Ni1 Cl1'
_space_group_name_H-M_alt 'P 1'
_space_group_IT_number 1
_cell_length_a 4.4561
_cell_length_b 4.4561
_cell_length_c 4.7452
_cell_angle_alpha 90.00
_cell_angle_beta 90.00
_cell_angle_gamma 90.00
loop_
_space_group_symop_operation_xyz
'x,y,z'
loop_
_atom_site_label
_atom_site_fract_x
_atom_site_fract_y
_atom_site_fract_z
_atom_site_occupancy
Ta1 0.0000 0.5000 0.0000 1
Ta2 0.5000 0.0000 0.0000 1
Ga1 0.0000 0.0000 0.5000 1
Ni1 0.5000 0.5000 0.5000 1
Cl1 0.0000 0.0000 0.0000 1
# formation energy (no corrections) = 1201.8 meV per atom
# mass density = 9.27 g cm⁻³
# electronic total energy = -5.670 eV/atom
# space-group type = P4/mmm